Entry 1:
# LaMn4S8 PBE relaxed
data_LaMn4S8
_chemical_formula_sum 'La1 Mn4 S8'
_cell_length_a 6.8958
_cell_length_b 6.8958
_cell_length_c 7.8327
_cell_angle_alpha 63.88
_cell_angle_beta 63.88
_cell_angle_gamma 60.00
_space_group_name_H-M_alt 'P 1'
_space_group_IT_number 1
_space_group_name_Hall 'P 1'
loop_
_atom_site_label
_atom_site_type_symbol
_atom_site_fract_x
_atom_site_fract_y
_atom_site_fract_z
La1 La 0.5000 0.5000 0.5000
Mn1 Mn 0.0000 0.5000 0.0000
S1 S 0.2755 0.7660 0.1924
S2 S 0.2340 0.7245 0.8076
Mn2 Mn 0.0000 0.0000 0.0000
S3 S 0.7294 0.7294 0.8118
S4 S 0.7660 0.7660 0.1924
S5 S 0.2706 0.2706 0.1882
Mn3 Mn 0.5000 0.5000 0.0000
S6 S 0.2340 0.2340 0.8076
Mn4 Mn 0.5000 0.0000 0.0000
S7 S 0.7245 0.2340 0.8076
S8 S 0.7660 0.2755 0.1924
# Total magnetic moment (Bohr magnetons per cell): 3.129
# Formation energy (no corrections) (meV/atom): -844

***

Entry 2:
# InReN2 PBE relaxed
data_InReN2
_chemical_formula_sum 'In2 Re2 N4'
_cell_length_a 5.7202
_cell_length_b 5.7202
_cell_length_c 6.1071
_cell_angle_alpha 62.07
_cell_angle_beta 62.07
_cell_angle_gamma 90.00
_space_group_name_H-M_alt 'P 1'
_space_group_IT_number 1
_space_group_name_Hall 'P 1'
loop_
_atom_site_label
_atom_site_type_symbol
_atom_site_fract_x
_atom_site_fract_y
_atom_site_fract_z
N1 N 0.8750 0.0616 0.7500
In1 In 0.2500 0.7500 0.5000
N2 N 0.9384 0.6250 0.2500
In2 In 0.5000 0.5000 0.0000
N3 N 0.3750 0.1884 0.7500
Re1 Re 0.7500 0.2500 0.5000
Re2 Re 0.0000 0.0000 0.0000
N4 N 0.8116 0.1250 0.2500
# Total magnetic moment (Bohr magnetons per cell): 0.000
# Formation energy (no corrections) (meV/atom): 249